No. 1
Below is a relaxed NiTeAs2Br crystal, with properties calculated at the PBE level.

```
NiTeAs2Br
1.0
4.795 0.000 0.000
0.000 4.795 0.000
0.000 0.000 4.743
As Br Ni Te
2 1 1 1
Cartesian
2.398 0.000 0.000
0.000 2.398 0.000
0.000 0.000 2.371
0.000 0.000 0.000
2.398 2.398 2.371
```

Offset from the most stable computed form   0 meV per atom
Density of states at the Fermi level   1.055 states/eV per atom
Formation energy from raw total energies   0.344 eV per atom
Final energy   -3.64 eV per atom
Total magnetization   0.000 μB/f.u.


No. 2
Below is a relaxed TiNiAsBr2 crystal, with properties calculated at the PBE level.

```
TiNiAsBr2
1.0
4.955 0.000 0.000
0.000 4.955 0.000
0.000 0.000 5.170
Br As Ti Ni
2 1 1 1
Cartesian
2.478 0.000 0.000
0.000 2.478 0.000
0.000 0.000 2.585
0.000 0.000 0.000
2.478 2.478 2.585
```

Offset from the most stable computed form   0 meV per atom
Density of states at the Fermi level   1.197 states/eV per atom
Formation energy from raw total energies   0.292 eV per atom
Final energy   -4.04 eV per atom
Total magnetization   1.499 μB/f.u.


No. 3
Below is a relaxed TlNiAsBr2 crystal, with properties calculated at the PBE level.

```
TlNiAsBr2
1.0
-2.227 -5.102 -1.304
3.274 -0.232 -4.682
3.956 -2.464 2.889
Tl Ni Br As
1 1 2 1
Cartesian
0.000 0.000 0.000
2.502 -3.900 -1.548
1.637 -0.116 -2.341
-1.113 -2.551 -0.652
1.978 -1.232 1.444
```

Offset from the most stable computed form   978 meV per atom
Density of states at the Fermi level   1.377 states/eV per atom
Formation energy from raw total energies   0.890 eV per atom
Final energy   -2.34 eV per atom
Total magnetization   2.611 μB/f.u.


No. 4
Below is a relaxed TlNiAsBr6 crystal, with properties calculated at the PBE level.

```
TlNiAsBr6
1.0
-6.583 1.041 -1.405
-4.045 -5.279 -1.472
-1.646 -0.737 7.166
Br Tl As Ni
6 1 1 1
Cartesian
-8.510 -1.181 0.196
-10.225 -2.850 2.706
-6.870 -1.844 3.580
-5.547 -3.188 0.670
-8.673 -4.765 -0.210
-7.627 -5.333 3.047
-12.274 -4.975 4.288
-4.366 -1.781 2.624
-7.908 -3.194 1.665
```

Formation energy from raw total energies   -0.466 eV per atom
Final energy   -3.00 eV per atom
Total magnetization   1.954 μB/f.u.


No. 5
Below is a relaxed TlNiAsBr2 crystal, with properties calculated at the PBE level.

```
TlNiAsBr2
1.0
-4.247 -2.574 2.206
0.500 -3.973 -3.674
2.745 -2.185 2.736
Tl Br As Ni
1 2 1 1
Cartesian
-0.501 -4.366 0.634
-2.124 -1.287 1.103
0.250 -1.987 -1.837
1.373 -1.092 1.368
0.000 0.000 0.000
```

Offset from the most stable computed form   0 meV per atom
Density of states at the Fermi level   0.747 states/eV per atom
Formation energy from raw total energies   -0.088 eV per atom
Final energy   -3.32 eV per atom
Total magnetization   0.581 μB/f.u.


No. 6
Below is a relaxed VNiAs2Br crystal, with properties calculated at the PBE level.

```
VNiAs2Br
1.0
-3.727 2.088 -1.480
-1.789 -0.255 4.145
2.077 4.541 1.176
As V Br Ni
2 1 1 1
Cartesian
-0.894 -0.128 2.072
-1.864 1.044 -0.740
-1.719 3.187 1.920
1.039 2.271 0.588
0.000 0.000 0.000
```

Offset from the most stable computed form   0 meV per atom
Density of states at the Fermi level   1.359 states/eV per atom
Formation energy from raw total energies   0.589 eV per atom
Final energy   -4.59 eV per atom
Total magnetization   2.555 μB/f.u.


No. 7
Below is a relaxed VNiAs2Br crystal, with properties calculated at the PBE level.

```
VNiAs2Br
1.0
4.654 0.000 0.000
0.000 4.654 0.000
0.000 0.000 5.262
Br As Ni V
1 2 1 1
Cartesian
0.000 0.000 2.631
2.327 0.000 0.000
0.000 2.327 0.000
2.327 2.327 2.631
0.000 0.000 0.000
```

Offset from the most stable computed form   63 meV per atom
Density of states at the Fermi level   1.789 states/eV per atom
Formation energy from raw total energies   0.652 eV per atom
Final energy   -4.52 eV per atom
Total magnetization   1.399 μB/f.u.


No. 8
Below is a relaxed NiAsWBr2 crystal, with properties calculated at the PBE level.

```
NiAsWBr2
1.0
5.119 0.000 0.000
0.000 5.119 0.000
0.000 0.000 4.901
W As Br Ni
1 1 2 1
Cartesian
0.000 0.000 0.000
0.000 0.000 2.450
0.000 2.560 0.000
2.560 0.000 0.000
2.560 2.560 2.450
```

Offset from the most stable computed form   0 meV per atom
Density of states at the Fermi level   3.034 states/eV per atom
Formation energy from raw total energies   1.019 eV per atom
Final energy   -4.33 eV per atom
Total magnetization   0.152 μB/f.u.


No. 9
Below is a relaxed NiAsWBr2 crystal, with properties calculated at the PBE level.

```
NiAsWBr2
1.0
4.699 0.000 0.000
0.000 4.699 0.000
0.000 0.000 4.909
Br W Ni As
2 1 1 1
Cartesian
2.349 0.000 0.000
0.000 2.349 0.000
2.349 2.349 2.455
0.000 0.000 0.000
0.000 0.000 2.455
```

Offset from the most stable computed form   162 meV per atom
Density of states at the Fermi level   0.890 states/eV per atom
Formation energy from raw total energies   1.181 eV per atom
Final energy   -4.16 eV per atom
Total magnetization   3.127 μB/f.u.


No. 10
Below is a relaxed NiAs2WBr crystal, with properties calculated at the PBE level.

```
NiAs2WBr
1.0
-1.784 -1.288 -4.308
1.413 -4.560 0.778
-4.644 -1.057 2.239
Ni As Br W
1 2 1 1
Cartesian
-2.507 -3.452 -0.645
0.706 -2.280 0.389
-0.892 -0.644 -2.154
-2.322 -0.528 1.120
0.000 0.000 0.000
```

Offset from the most stable computed form   0 meV per atom
Density of states at the Fermi level   1.692 states/eV per atom
Formation energy from raw total energies   0.983 eV per atom
Final energy   -4.96 eV per atom
Total magnetization   0.868 μB/f.u.


No. 11
Below is a relaxed NiAs2WBr crystal, with properties calculated at the PBE level.

```
NiAs2WBr
1.0
-0.044 1.065 -4.438
-2.692 -3.590 -0.835
-3.861 2.734 0.695
Ni As W Br
1 2 1 1
Cartesian
0.000 0.000 0.000
-1.346 -1.795 -0.418
-0.022 0.533 -2.219
-3.299 0.105 -2.289
-1.931 1.367 0.347
```

Offset from the most stable computed form   164 meV per atom
Density of states at the Fermi level   0.684 states/eV per atom
Formation energy from raw total energies   1.148 eV per atom
Final energy   -4.79 eV per atom
Total magnetization   2.524 μB/f.u.


No. 12
Below is a relaxed YNiAs2Br crystal, with properties calculated at the PBE level.

```
YNiAs2Br
1.0
-0.445 -4.236 -3.476
4.701 1.496 -2.425
2.769 -3.117 3.445
As Y Br Ni
2 1 1 1
Cartesian
2.351 0.748 -1.213
-0.222 -2.118 -1.738
0.000 0.000 0.000
1.385 -1.558 1.722
3.513 -2.928 -1.228
```

Offset from the most stable computed form   848 meV per atom
Density of states at the Fermi level   2.480 states/eV per atom
Formation energy from raw total energies   0.565 eV per atom
Final energy   -4.08 eV per atom
Total magnetization   1.169 μB/f.u.


No. 13
Below is a relaxed YNiAs2Br crystal, with properties calculated at the PBE level.

```
YNiAs2Br
1.0
-1.069 -3.855 -2.365
4.520 -1.000 -0.414
-0.177 -2.571 4.270
Ni As Br Y
1 2 1 1
Cartesian
0.000 0.000 0.000
-0.535 -1.928 -1.183
2.260 -0.500 -0.207
-0.089 -1.285 2.135
1.637 -3.713 0.746
```

Offset from the most stable computed form   0 meV per atom
Density of states at the Fermi level   0.524 states/eV per atom
Formation energy from raw total energies   -0.284 eV per atom
Final energy   -4.93 eV per atom
Total magnetization   0.000 μB/f.u.


No. 14
Below is a relaxed ZrNiAsBr2 crystal, with properties calculated at the PBE level.

```
ZrNiAsBr2
1.0
5.236 0.000 0.000
0.000 5.236 0.000
0.000 0.000 5.377
Br Ni As Zr
2 1 1 1
Cartesian
2.618 0.000 0.000
0.000 2.618 0.000
2.618 2.618 2.689
0.000 0.000 2.689
0.000 0.000 0.000
```

Offset from the most stable computed form   17 meV per atom
Density of states at the Fermi level   1.349 states/eV per atom
Formation energy from raw total energies   0.226 eV per atom
Final energy   -4.24 eV per atom
Total magnetization   1.146 μB/f.u.